(1)
Compound: AlCl5
Source: the Alexandria database
Functional: PBEsol
Structure: optimized geometry

ΔE to the lowest computed polymorph in meV/atom: 1054
Theoretical density in g cm⁻³: 2.24
Size of the total moment in μB per formula unit: 0.00
Space group: P6/mmm

Lattice parameters (Å, degrees): 7.032 4.984 4.984 120.00 90.00 90.00
Positions (direct):
1 Cl 0.000 0.667 0.333
2 Cl 0.500 0.500 0.500
3 Cl 0.500 0.500 0.000
4 Cl 0.000 0.333 0.667
5 Cl 0.500 0.000 0.500
6 Al 0.000 0.000 0.000

***

(2)
Compound: Al3Cl
Source: the Alexandria database
Functional: PBEsol
Structure: optimized geometry

ΔE to the lowest computed polymorph in meV/atom: 236
Theoretical density in g cm⁻³: 2.58
Size of the total moment in μB per formula unit: 0.00
Space group: Pmmn

Lattice parameters (Å, degrees): 5.219 5.218 5.510 90.00 90.00 90.00
Positions (direct):
1 Al 0.500 0.244 0.750
2 Al 0.000 0.252 0.500
3 Al 0.500 0.244 0.250
4 Al 0.000 0.756 0.750
5 Al 0.500 0.748 0.000
6 Al 0.000 0.756 0.250
7 Cl 0.000 0.257 0.000
8 Cl 0.500 0.743 0.500

***

(3)
Compound: Al3Cl
Source: the Alexandria database
Functional: PBEsol
Structure: optimized geometry

ΔE to the lowest computed polymorph in meV/atom: 0
Theoretical density in g cm⁻³: 2.47
Size of the total moment in μB per formula unit: 0.00
Space group: Cmcm

Lattice parameters (Å, degrees): 4.980 5.608 5.608 94.32 90.00 90.00
Positions (direct):
1 Al 0.750 0.091 0.909
2 Al 0.250 0.995 0.604
3 Al 0.250 0.909 0.091
4 Al 0.750 0.604 0.995
5 Al 0.750 0.005 0.396
6 Al 0.250 0.396 0.005
7 Cl 0.750 0.592 0.408
8 Cl 0.250 0.408 0.592

***

(4)
Compound: AlCl5
Source: the Alexandria database
Functional: PBEsol
Structure: optimized geometry

ΔE to the lowest computed polymorph in meV/atom: 0
Theoretical density in g cm⁻³: 2.17
Size of the total moment in μB per formula unit: 0.00
Space group: Cm

Lattice parameters (Å, degrees): 3.368 7.486 6.874 110.99 104.18 90.00
Positions (direct):
1 Cl 0.905 0.734 0.810
2 Cl 0.622 0.709 0.244
3 Cl 0.341 0.344 0.681
4 Cl 0.591 0.106 0.181
5 Cl 0.298 0.057 0.596
6 Al 0.077 0.884 0.154

***

(5)
Compound: AlCl3
Source: the Alexandria database
Functional: PBEsol
Structure: optimized geometry

VASP energy in Ha/atom: -0.142
Theoretical density in g cm⁻³: 2.14
Size of the total moment in μB per formula unit: 0.00
Space group: Cmcm

Lattice parameters (Å, degrees): 3.114 8.270 8.270 103.64 90.00 90.00
Positions (direct):
1 Cl 0.750 0.509 0.790
2 Cl 0.750 0.155 0.845
3 Cl 0.750 0.210 0.491
4 Cl 0.250 0.790 0.509
5 Cl 0.250 0.845 0.155
6 Cl 0.250 0.491 0.210
7 Al 0.750 0.709 0.291
8 Al 0.250 0.291 0.709

***

(6)
Compound: Al2CoCl
Source: the Alexandria database
Functional: PBEsol
Structure: optimized geometry

ΔE to the lowest computed polymorph in meV/atom: 182
Theoretical density in g cm⁻³: 4.05
Size of the total moment in μB per formula unit: 1.34
Space group: Pmmm

Lattice parameters (Å, degrees): 2.809 4.735 4.575 90.00 90.00 90.00
Last column: magnetic moment on the atom in μB.
Positions (direct):
1 Al 0.000 0.000 0.000  0.01
2 Al 0.500 0.500 0.000  -0.01
3 Cl 0.500 0.000 0.500  0.06
4 Co 0.000 0.500 0.500  1.35